(1)
Np2Si2Ir5 | PBE | optimized geometry

It has space group P4/mmm (No. 123), with a = 4.073 Å, b = 4.073 Å, c = 9.041 Å, α = 90.00°, β = 90.00° and γ = 90.00°. The inequivalent atoms are Np at (0.000, 0.000, 0.000), Np at (0.000, 0.000, 0.500), Si at (0.500, 0.500, 0.132), Ir at (0.000, 0.500, 0.273) and Ir at (0.500, 0.500, 0.500).

Its total energy is -9.579 eV/atom. The formation energy without anion corrections comes out at -499 kJ/mol of formula units. For the density of states at the Fermi level, the calculation gives 20.4 states/eV per cell.



(2)
Dy4Zn2Ga | PBE | optimized geometry

It has space group I4/mmm (No. 139), with a = 7.094 Å, b = 7.094 Å, c = 7.051 Å, α = 90.00°, β = 90.00° and γ = 90.00°. The inequivalent atoms are Dy at (0.250, 0.250, 0.250), Zn at (0.000, 0.500, 0.000) and Ga at (0.000, 0.000, 0.000).

Its formation energy is -0.305 eV per atom. Its total energy is -3.731 eV/atom. For the density of states at the Fermi level, the calculation gives 12.0 states/eV per cell.



(3)
NaBeP2S | PBE | optimized geometry

It has space group P4/mmm (No. 123), with a = 4.217 Å, b = 4.217 Å, c = 4.983 Å, α = 90.00°, β = 90.00° and γ = 90.00°. The inequivalent atoms are Na at (0.000, 0.000, 0.000), Be at (0.500, 0.500, 0.500), P at (0.000, 0.500, 0.500) and S at (0.500, 0.500, 0.000).

Its total energy is -3.736 eV/atom. As for the energy above the most stable polymorph in this dataset: 0.00 kJ/mol of atoms. The formation energy without anion corrections comes out at 127 kJ/mol of formula units. For the density of states at the Fermi level, the calculation gives 3.3 states/eV per cell.



(4)
TmTl2Sb | PBE | optimized geometry

It has space group R-3m (No. 166, hexagonal axes), with a = 3.4750 Å, b = 3.4750 Å, c = 35.4330 Å, α = 90.00°, β = 90.00° and γ = 120.00°. The inequivalent atoms are Tm at (0.0000, 0.0000, 0.0000), Tl at (0.0000, 0.0000, 0.0887) and Sb at (0.0000, 0.0000, 0.5000).

Its total energy is -3.176 eV/atom. The formation energy without anion corrections comes out at 60 kJ/mol of formula units. For the density of states at the Fermi level, the calculation gives 10.8 states/eV per cell.



(5)
HfZn5Cu4 | PBE | optimized geometry

It has space group P4/mmm (No. 123), with a = 2.993 Å, b = 2.993 Å, c = 15.676 Å, α = 90.00°, β = 90.00° and γ = 90.00°. The inequivalent atoms are Hf at (0.000, 0.000, 0.000), Zn at (0.500, 0.500, 0.127), Zn at (0.500, 0.500, 0.314), Zn at (0.500, 0.500, 0.500), Cu at (0.000, 0.000, 0.220) and Cu at (0.000, 0.000, 0.407).

Its formation energy is -0.107 eV per atom. Its total energy is -3.377 eV/atom. For the density of states at the Fermi level, the calculation gives 4.6 states/eV per cell.



(6)
InAgPb | PBE | optimized geometry

It has space group P2_1 (No. 4), with a = 6.181 Å, b = 3.525 Å, c = 7.164 Å, α = 90.00°, β = 101.31° and γ = 90.00°. The inequivalent atoms are In at (0.116, 0.000, 0.366), Ag at (0.413, 0.499, 0.639) and Pb at (0.253, 0.999, 0.952).

Its formation energy is 0.055 eV per atom. Its total energy is -3.044 eV/atom. For the density of states at the Fermi level, the calculation gives 2.1 states/eV per cell.



(7)
PuBiRuO6 | PBE | optimized geometry

It has space group P-31c (No. 163), with a = 5.3140 Å, b = 5.3140 Å, c = 10.4679 Å, α = 90.00°, β = 90.00° and γ = 120.00°. The inequivalent atoms are Pu at (0.3333, 0.6667, 0.2500), Bi at (0.0000, 0.0000, 0.0000), Ru at (0.3333, 0.6667, 0.7500) and O at (0.0135, 0.3607, 0.6389).

Its total energy is -8.094 eV/atom. The formation energy without anion corrections comes out at -1506 kJ/mol of formula units. For the density of states at the Fermi level, the calculation gives 9.1 states/eV per cell.



(8)
ScTaZn2 | PBE | optimized geometry

It has space group C2/m (No. 12), with a = 9.583 Å, b = 2.900 Å, c = 5.252 Å, α = 90.00°, β = 98.93° and γ = 90.00°. The inequivalent atoms are Sc at (0.000, 0.000, 0.000), Ta at (0.000, 0.500, 0.500) and Zn at (0.247, 0.000, 0.728).

Its formation energy is 0.087 eV per atom. Its total energy is -5.096 eV/atom. As for the energy above the most stable polymorph in this dataset: 20.24 kJ/mol of atoms. For the density of states at the Fermi level, the calculation gives 6.5 states/eV per cell.